[1]
Computed, not measured: a geometry-optimized FeRu3 structure at the PBE-GGA level of DFT.

As for the energy of formation from the pure elements: 0.063 eV per atom. The density of states at the Fermi level comes out at 4.081 states/eV/f.u. The crystal system is orthorhombic.

The structure belongs to space group Pmm2 (No. 25); the cell edges are 2.703, 4.238 and 4.639 Å and the angles 90.00°, 90.00° and 90.00°. The distinct sites, in fractional coordinates, are Fe at (0.000, 0.000, 0.000), Ru at (0.000, 0.500, 0.323), Ru at (0.500, 0.000, 0.496) and Ru at (0.500, 0.500, 0.839).

***

[2]
Computed, not measured: a geometry-optimized TbTm4In2 structure at the PBE-GGA level of DFT.

As for the energy of formation from the pure elements: 0.075 eV per atom. The density of states at the Fermi level comes out at 8.451 states/eV/f.u. The crystal system is trigonal.

The structure belongs to space group R-3m (No. 166, hexagonal axes); the cell edges are 5.0522, 5.0522 and 30.8222 Å and the angles 90.00°, 90.00° and 120.00°. The distinct sites, in fractional coordinates, are Tb at (0.0000, 0.0000, 0.0000), Tm at (0.0000, 0.0000, 0.2031), Tm at (0.0000, 0.0000, 0.3920) and In at (0.0000, 0.0000, 0.1005).

***

[3]
Computed, not measured: a geometry-optimized DyTmMgHg structure at the PBE-GGA level of DFT.

As for the energy of formation from the pure elements: -0.274 eV per atom. The density of states at the Fermi level comes out at 4.177 states/eV/f.u. The crystal system is tetragonal.

The structure belongs to space group P4mm (No. 99); the cell edges are 3.763, 3.763 and 7.312 Å and the angles 90.00°, 90.00° and 90.00°. The distinct sites, in fractional coordinates, are Dy at (0.000, 0.000, 0.000), Tm at (0.000, 0.000, 0.510), Mg at (0.500, 0.500, 0.259) and Hg at (0.500, 0.500, 0.749).